1.
PBE TaTcMo, optimized geometry; E_tot = -11.0926 eV per atom; formation energy from the elements = -0.0761 eV/atom; offset from the most stable computed form = 190 meV per atom
1.0
7.041 0.008 -0.006
6.297 2.691 0.003
0.744 -0.803 2.560
Mo Ta Tc
1 1 1
Direct
0.004 0.004 0.996 Mo
0.332 0.332 0.668 Ta
0.665 0.665 0.335 Tc

2.
PBE ScZnSb2Te, optimized geometry; E_tot = -3.6046 eV per atom; formation energy from raw total energies = 0.1938 eV per atom; offset from the most stable computed form = 0 meV per atom
1.0
-0.371 -1.599 5.269
5.103 -2.084 -0.273
2.054 4.819 1.607
Sc Sb Zn Te
1 2 1 1
Direct
0.000 0.000 0.000 Sc
0.000 0.500 0.000 Sb
0.500 0.000 0.000 Sb
0.500 0.500 0.500 Zn
0.000 0.000 0.500 Te

3.
PBE HoZn6GaCu, optimized geometry; E_tot = -2.1586 eV per atom; formation energy from the elements = -0.0092 eV/atom
1.0
6.795 0.000 0.000
0.000 8.898 0.000
-3.398 -4.449 5.395
Ho Zn Ga Cu
2 12 2 2
Direct
0.700 0.450 0.401 Ho
0.300 0.550 0.599 Ho
0.575 0.825 0.150 Zn
0.995 0.245 0.989 Zn
0.934 0.138 0.252 Zn
0.317 0.613 0.252 Zn
0.317 0.138 0.252 Zn
0.934 0.613 0.252 Zn
0.425 0.175 0.850 Zn
0.005 0.755 0.011 Zn
0.066 0.862 0.748 Zn
0.683 0.387 0.748 Zn
0.683 0.862 0.748 Zn
0.066 0.387 0.748 Zn
0.500 0.000 0.500 Ga
0.000 0.000 0.500 Ga
0.500 0.500 0.000 Cu
0.500 0.000 0.000 Cu

4.
PBE Er2CdPt3, optimized geometry; E_tot = -5.6793 eV per atom; formation energy from the elements = -0.9855 eV/atom; offset from the most stable computed form = 9 meV per atom
1.0
3.780 0.000 0.000
0.000 7.447 0.000
0.000 0.000 17.437
Er Cd Pt
8 4 12
Direct
0.250 0.650 0.571 Er
0.750 0.850 0.071 Er
0.250 0.150 0.929 Er
0.750 0.350 0.429 Er
0.250 0.597 0.785 Er
0.750 0.903 0.285 Er
0.250 0.097 0.715 Er
0.750 0.403 0.215 Er
0.250 0.991 0.436 Cd
0.750 0.509 0.936 Cd
0.250 0.491 0.064 Cd
0.750 0.009 0.564 Cd
0.250 0.777 0.946 Pt
0.750 0.723 0.446 Pt
0.250 0.277 0.554 Pt
0.750 0.223 0.054 Pt
0.250 0.085 0.160 Pt
0.750 0.415 0.660 Pt
0.250 0.585 0.340 Pt
0.750 0.915 0.840 Pt
0.250 0.708 0.190 Pt
0.750 0.792 0.690 Pt
0.250 0.208 0.310 Pt
0.750 0.292 0.810 Pt

5.
PBE PrHoScTl, optimized geometry; E_tot = -4.5783 eV per atom; formation energy from the elements = -0.0646 eV/atom
1.0
-0.028 -1.322 -5.278
-2.707 -4.408 -1.686
-4.557 0.557 -2.920
Pr Sc Tl Ho
1 1 1 1
Direct
0.250 0.250 0.250 Pr
0.000 0.000 0.000 Sc
0.500 0.500 0.500 Tl
0.750 0.750 0.750 Ho

6.
PBE RbBeCr2Br, optimized geometry; E_tot = -4.4529 eV per atom; formation energy from raw total energies = 0.6697 eV per atom
1.0
4.703 0.000 0.000
0.000 6.931 0.000
0.000 0.000 4.703
Cr Br Rb Be
2 1 1 1
Direct
0.000 0.000 0.500 Cr
0.500 0.000 0.000 Cr
0.500 0.500 0.500 Br
0.000 0.500 0.000 Rb
0.000 0.000 0.000 Be

7.
PBE Ac8Al2Au, optimized geometry; E_tot = -4.1629 eV per atom; formation energy from the elements = -0.1965 eV/atom
1.0
-2.816 3.534 -3.165
-5.981 -0.814 4.412
6.251 5.997 5.943
Ac Al Au
8 2 1
Direct
0.406 0.541 0.812 Ac
0.657 0.971 0.314 Ac
0.791 0.691 0.582 Ac
0.977 0.225 0.955 Ac
0.209 0.309 0.418 Ac
0.343 0.029 0.686 Ac
0.594 0.459 0.188 Ac
0.023 0.775 0.045 Ac
0.812 0.258 0.625 Al
0.188 0.742 0.375 Al
0.500 0.000 0.000 Au

8.
PBE KHf2Hg2, optimized geometry; E_tot = -4.1243 eV per atom; formation energy from the elements = 0.1973 eV/atom; offset from the most stable computed form = 0 meV per atom
1.0
-3.004 -6.776 -5.067
2.853 -5.874 6.163
-2.719 0.154 1.406
K Hf Hg
2 4 4
Direct
0.000 0.000 0.000 K
0.500 0.500 0.000 K
0.381 0.881 0.000 Hf
0.881 0.619 0.000 Hf
0.619 0.119 0.000 Hf
0.119 0.381 0.000 Hf
0.176 0.676 0.500 Hg
0.676 0.824 0.500 Hg
0.824 0.324 0.500 Hg
0.324 0.176 0.500 Hg

9.
PBE PrNdH2, optimized geometry; E_tot = -4.3559 eV per atom; offset from the most stable computed form = 105 meV per atom
1.0
3.656 0.000 0.000
1.828 3.166 0.000
1.828 1.055 6.161
Pr Nd H
1 1 2
Direct
0.492 0.492 0.524 Pr
0.670 0.670 0.991 Nd
0.079 0.079 0.763 H
0.260 0.260 0.221 H

10.
PBE CaTb3Sm8, optimized geometry; E_tot = -3.8491 eV per atom; formation energy from the elements = 0.6214 eV/atom
1.0
7.731 -0.736 -3.836
-4.585 7.288 -0.947
-0.463 0.736 8.618
Ca Tb Sm
1 3 8
Direct
0.000 0.000 0.000 Ca
0.500 0.750 0.250 Tb
0.500 0.250 0.750 Tb
0.000 0.500 0.500 Tb
0.535 0.319 0.319 Sm
0.465 0.784 0.784 Sm
0.000 0.681 0.216 Sm
0.000 0.216 0.681 Sm
0.286 0.424 0.424 Sm
0.714 0.138 0.138 Sm
0.000 0.576 0.862 Sm
0.000 0.862 0.576 Sm

11.
PBE B3HS, optimized geometry; E_tot = -3.5563 eV per atom; offset from the most stable computed form = 0 meV per atom
1.0
3.374 0.000 0.000
0.000 3.374 0.000
0.000 0.000 3.374
H S B
1 1 3
Direct
0.000 0.000 0.000 H
0.500 0.500 0.500 S
0.000 0.500 0.000 B
0.000 0.000 0.500 B
0.500 0.000 0.000 B

12.
PBE PrPHRu, optimized geometry; E_tot = -6.6467 eV per atom
1.0
4.033 0.000 0.000
0.000 4.033 0.000
0.000 0.000 7.846
Pr P H Ru
2 2 2 2
Direct
0.500 0.000 0.673 Pr
0.000 0.500 0.327 Pr
0.000 0.500 0.846 P
0.500 0.000 0.154 P
0.000 0.000 0.500 H
0.500 0.500 0.500 H
0.500 0.500 0.000 Ru
0.000 0.000 0.000 Ru

13.
PBE AlCuSiI2, optimized geometry; E_tot = -2.5787 eV per atom; formation energy from raw total energies = 0.6937 eV per atom
1.0
-2.921 -3.814 2.895
2.816 -3.575 -1.868
3.552 0.548 4.306
I Si Al Cu
2 1 1 1
Direct
0.000 0.000 0.500 I
0.500 0.000 0.000 I
0.000 0.000 0.000 Si
0.000 0.500 0.000 Al
0.500 0.500 0.500 Cu